Version P
BeCdRu2 | meta-GGA SCAN | PBEsol geometry

Output
total magnetization	0.701	μB per atom

```
BeCdRu2
1.0
3.723 0.000 0.000
0.000 3.723 0.000
-1.861 -1.861 3.980
Be Cd Ru
1 1 2
Direct
0.500 0.500 0.000 Be
0.000 0.000 0.000 Cd
0.250 0.750 0.500 Ru
0.750 0.250 0.500 Ru
```

Version Q
BeCdRu2 | meta-GGA SCAN | PBEsol geometry

Output
total magnetization	0.000	μB per atom

```
BeCdRu2
1.0
-3.140 1.513 -2.449
-3.945 0.346 1.569
-1.649 3.848 0.787
Ru Cd Be
2 1 1
Direct
0.000 0.000 0.000 Ru
0.750 0.750 0.750 Ru
0.250 0.250 0.250 Cd
0.500 0.500 0.500 Be
```

Short version: version Q is the most stable of them.

Version P
BeCdRu | meta-GGA SCAN | PBEsol geometry

Output
total magnetization	0.000	μB per atom

```
BeCdRu
1.0
3.922 0.000 0.000
1.961 3.397 0.000
1.961 1.132 3.202
Be Cd Ru
1 1 1
Direct
0.250 0.250 0.250 Be
0.000 0.000 0.000 Cd
0.500 0.500 0.500 Ru
```

Version Q
BeCdRu | meta-GGA SCAN | PBEsol geometry

Output
total magnetization	0.002	μB per atom

```
BeCdRu
1.0
-1.923 -2.235 -0.213
2.218 -1.847 -0.641
0.415 1.119 5.030
Cd Ru Be
1 1 1
Direct
0.666 0.666 0.332 Cd
0.370 0.370 0.739 Ru
0.964 0.964 0.928 Be
```

Short version: version Q is the most stable of them.